# 1
Entry from the Alexandria database: a relaxed structure of NbSb2Pd9 (PBE).

Cell and atoms, written as POSCAR:
```
NbSb2Pd9
1.0
4.019 0.000 0.000
0.000 4.019 0.000
0.000 0.000 12.209
Nb Sb Pd
1 2 9
Direct
0.000 0.000 0.000
0.000 0.000 0.336
0.000 0.000 0.664
0.000 0.500 0.156
0.000 0.500 0.500
0.000 0.500 0.844
0.500 0.000 0.156
0.500 0.000 0.500
0.500 0.000 0.844
0.500 0.500 0.000
0.500 0.500 0.326
0.500 0.500 0.674
```

Values from the calculation:
Fermi-level density of states (states/eV/cell): 7.4
Formation energy without anion corrections (eV/atom): -0.375
Energy (eV per atom): -5.80

***

# 2
Entry from the Alexandria database: a relaxed structure of Dy3Ho2TmS6 (PBE).

Cell and atoms, written as POSCAR:
```
Dy3Ho2TmS6
1.0
8.465 -1.939 0.000
8.465 1.939 0.000
-1.825 0.000 7.587
Dy Ho Tm S
3 2 1 6
Direct
0.000 0.000 0.000
0.333 0.333 0.667
0.667 0.667 0.333
0.333 0.333 0.166
0.667 0.667 0.834
0.000 0.000 0.500
0.165 0.165 0.584
0.167 0.167 0.082
0.500 0.500 0.254
0.500 0.500 0.746
0.833 0.833 0.918
0.835 0.835 0.416
```

Values from the calculation:
Fermi-level density of states (states/eV/cell): 5.2
Formation energy without anion corrections (eV/atom): -1.977
Energy (eV per atom): -6.33

***

- The lowest Fermi-level density of states belongs to which entry?
  Dy3Ho2TmS6